Entry 1:
Density functional theory data (PBE) for GaCl after structural relaxation.

a = 3.6684 Å, b = 8.9439 Å, c = 11.1626 Å
α = 90.00°, β = 90.00°, γ = 90.00°
Closest atoms and distances in Å follow each position.
Fractional positions:
1 Cl 0.5000 0.8148 0.1979  2 Ga 2.47
2 Cl 0.5000 0.4485 0.5000  4 Ga 2.60-2.90
3 Cl 0.5000 0.8148 0.8021  2 Ga 2.47
4 Cl 0.0000 0.1852 0.3021  2 Ga 2.47
5 Cl 0.0000 0.5515 0.0000  4 Ga 2.60-2.90
6 Cl 0.0000 0.1852 0.6979  2 Ga 2.47
7 Ga 0.0000 0.6550 0.5000  2 Cl 2.60, 2 Ga 2.79
8 Ga 0.0000 0.6418 0.2499  2 Cl 2.47
9 Ga 0.5000 0.3450 0.0000  2 Cl 2.60, 2 Ga 2.79
10 Ga 0.5000 0.3582 0.2501  2 Cl 2.47
11 Ga 0.5000 0.3582 0.7499  2 Cl 2.47
12 Ga 0.0000 0.6418 0.7501  2 Cl 2.47

calculated total energy	-3.098	eV per atom
space group	Pmmn, No. 59
formation energy (no corrections)	-661.3	meV per atom

***

Entry 2:
Density functional theory data (PBE) for GaCl after structural relaxation.

a = 5.1307 Å, b = 5.1307 Å, c = 6.0389 Å
α = 90.00°, β = 90.00°, γ = 120.00°
Closest atoms and distances in Å follow each position.
Fractional positions:
1 Cl 0.3333 0.6667 0.2500  5 Ga 2.96-3.02
2 Cl 0.6667 0.3333 0.7500  5 Ga 2.96-3.02
3 Ga 0.3333 0.6667 0.7500  5 Cl 2.96-3.02
4 Ga 0.6667 0.3333 0.2500  5 Cl 2.96-3.02

calculated total energy	-3.082	eV per atom
space group	P6_3/mmc, No. 194
formation energy (no corrections)	-645.1	meV per atom

***

Entry 3:
Density functional theory data (PBE) for Gd2GaCl after structural relaxation.

a = 3.4059 Å, b = 3.4059 Å, c = 8.0488 Å
α = 90.00°, β = 90.00°, γ = 90.00°
Closest atoms and distances in Å follow each position.
Fractional positions:
1 Ga 0.5000 0.5000 0.0000  8 Gd 3.07, 4 Ga 3.41
2 Cl 0.5000 0.5000 0.5000  8 Gd 3.21, 4 Cl 3.41
3 Gd 0.0000 0.0000 0.2356  4 Ga 3.07, 4 Cl 3.21, 4 Gd 3.41
4 Gd 0.0000 0.0000 0.7644  4 Ga 3.07, 4 Cl 3.21, 4 Gd 3.41

calculated total energy	-9.180	eV per atom
space group	P4/mmm, No. 123
formation energy (no corrections)	-921.5	meV per atom

***

Entry 4:
Density functional theory data (PBE) for Gd2GaCl after structural relaxation.

a = 4.1831 Å, b = 4.1831 Å, c = 7.1554 Å
α = 73.00°, β = 73.00°, γ = 60.00°
Closest atoms and distances in Å follow each position.
Fractional positions:
1 Gd 0.2536 0.2536 0.2392  3 Ga 2.90, 3 Cl 2.99
2 Gd 0.7464 0.7464 0.7608  3 Ga 2.90, 3 Cl 2.99
3 Ga 0.0000 0.0000 0.0000  6 Gd 2.90
4 Cl 0.5000 0.5000 0.5000  6 Gd 2.99

calculated total energy	-9.217	eV per atom
space group	R-3m, No. 166
formation energy (no corrections)	-958.5	meV per atom

***

Entry 5:
Density functional theory data (PBE) for GdGaCl2 after structural relaxation.

a = 3.9938 Å, b = 3.9938 Å, c = 9.3917 Å
α = 77.72°, β = 77.72°, γ = 60.00°
Closest atoms and distances in Å follow each position.
Fractional positions:
1 Cl 0.9024 0.9024 0.2928  1 Gd 2.67, 3 Ga 2.98
2 Cl 0.0976 0.0976 0.7072  1 Gd 2.67, 3 Ga 2.98
3 Ga 0.5000 0.5000 0.5000  6 Cl 2.98
4 Gd 0.0000 0.0000 0.0000  2 Cl 2.67

calculated total energy	-6.109	eV per atom
space group	R-3m, No. 166
formation energy (no corrections)	-908.3	meV per atom

***

Entry 6:
Density functional theory data (PBE) for GaGeCl5 after structural relaxation.

a = 7.2164 Å, b = 7.2127 Å, c = 10.2489 Å
α = 106.27°, β = 110.80°, γ = 95.60°
Closest atoms and distances in Å follow each position.
Fractional positions:
1 Cl 0.3457 0.8942 0.1646  1 Ga 2.22
2 Cl 0.6504 0.1070 0.8440  1 Ga 2.22
3 Cl 0.2683 0.3616 0.0590  1 Ga 2.20
4 Cl 0.2975 0.6732 0.4291  1 Ga 2.22
5 Cl 0.7379 0.6947 0.3442  1 Ga 2.22
6 Cl 0.8830 0.2039 0.2765  1 Ge 2.21
7 Cl 0.0730 0.8945 0.7765  1 Ge 2.21
8 Cl 0.6992 0.2918 0.5592  1 Ga 2.20
9 Cl 0.2717 0.3197 0.6642  1 Ga 2.22
10 Cl 0.7569 0.6325 0.9292  1 Ga 2.22
11 Ge 0.9911 0.4711 0.4762  1 Cl 2.21
12 Ge 0.0059 0.9860 0.9764  1 Cl 2.21
13 Ga 0.6051 0.3454 0.7460  4 Cl 2.20-2.22
14 Ga 0.4015 0.6421 0.2461  4 Cl 2.20-2.22

calculated total energy	-3.376	eV per atom
space group	Cc, No. 9
formation energy (no corrections)	-965.3	meV per atom